1.
# Mg2PI2 | Alexandria | PBEsol | relaxed
data_Mg2PI2
_cell_length_a 5.6771
_cell_length_b 5.9788
_cell_length_c 5.6771
_cell_angle_alpha 61.66
_cell_angle_beta 90.00
_cell_angle_gamma 118.34
_symmetry_space_group_name_H-M 'P 1'
_symmetry_Int_Tables_number 1
loop_
_symmetry_equiv_pos_as_xyz
'x,y,z'
loop_
_atom_site_label
_atom_site_type_symbol
_atom_site_fract_x
_atom_site_fract_y
_atom_site_fract_z
_atom_site_occupancy
I1 I 0.6851 0.3703 0.3149 1
I2 I 0.3149 0.6297 0.6851 1
P1 P 0.0000 0.0000 0.0000 1
Mg1 Mg 0.7500 0.5000 0.7500 1
Mg2 Mg 0.2500 0.5000 0.2500 1
# **Total moment**: 0.00 μB/f.u.
# **ΔE_f (raw)**: 66.9 kJ/mol of formula units


2.
# Mg3PI | Alexandria | PBEsol | relaxed
data_Mg3PI
_cell_length_a 5.4131
_cell_length_b 5.4131
_cell_length_c 5.4131
_cell_angle_alpha 90.00
_cell_angle_beta 90.00
_cell_angle_gamma 90.00
_symmetry_space_group_name_H-M 'P 1'
_symmetry_Int_Tables_number 1
loop_
_symmetry_equiv_pos_as_xyz
'x,y,z'
loop_
_atom_site_label
_atom_site_type_symbol
_atom_site_fract_x
_atom_site_fract_y
_atom_site_fract_z
_atom_site_occupancy
I1 I 0.0000 0.0000 0.0000 1
P1 P 0.5000 0.5000 0.5000 1
Mg1 Mg 0.0000 0.5000 0.0000 1
Mg2 Mg 0.0000 0.0000 0.5000 1
Mg3 Mg 0.5000 0.0000 0.0000 1
# **Total moment**: 0.00 μB/f.u.
# **ΔE_f (raw)**: 406.4 kJ/mol of formula units


3.
# MgP3I | Alexandria | PBEsol | relaxed
data_MgP3I
_cell_length_a 5.0273
_cell_length_b 5.0273
_cell_length_c 5.0273
_cell_angle_alpha 90.00
_cell_angle_beta 90.00
_cell_angle_gamma 90.00
_symmetry_space_group_name_H-M 'P 1'
_symmetry_Int_Tables_number 1
loop_
_symmetry_equiv_pos_as_xyz
'x,y,z'
loop_
_atom_site_label
_atom_site_type_symbol
_atom_site_fract_x
_atom_site_fract_y
_atom_site_fract_z
_atom_site_occupancy
I1 I 0.0000 0.0000 0.0000 1
P1 P 0.0000 0.5000 0.0000 1
P2 P 0.0000 0.0000 0.5000 1
P3 P 0.5000 0.0000 0.0000 1
Mg1 Mg 0.5000 0.5000 0.5000 1
# **Total moment**: 0.00 μB/f.u.
# **ΔE_f (raw)**: 613.5 kJ/mol of formula units


4.
# MgP2SI | Alexandria | PBEsol | relaxed
data_MgP2SI
_cell_length_a 5.0410
_cell_length_b 5.0313
_cell_length_c 5.0313
_cell_angle_alpha 90.00
_cell_angle_beta 90.00
_cell_angle_gamma 90.00
_symmetry_space_group_name_H-M 'P 1'
_symmetry_Int_Tables_number 1
loop_
_symmetry_equiv_pos_as_xyz
'x,y,z'
loop_
_atom_site_label
_atom_site_type_symbol
_atom_site_fract_x
_atom_site_fract_y
_atom_site_fract_z
_atom_site_occupancy
I1 I 0.0000 0.0000 0.0000 1
P1 P 0.0000 0.0000 0.5000 1
P2 P 0.0000 0.5000 0.0000 1
S1 S 0.5000 0.0000 0.0000 1
Mg1 Mg 0.5000 0.5000 0.5000 1
# **Total moment**: 0.00 μB/f.u.
# **ΔE_f (raw)**: 503.9 kJ/mol of formula units


Among the records above, which one has the lowest ΔE_f (raw)?
Mg2PI2


Copy entry 3 word for word.
# MgP3I | Alexandria | PBEsol | relaxed
data_MgP3I
_cell_length_a 5.0273
_cell_length_b 5.0273
_cell_length_c 5.0273
_cell_angle_alpha 90.00
_cell_angle_beta 90.00
_cell_angle_gamma 90.00
_symmetry_space_group_name_H-M 'P 1'
_symmetry_Int_Tables_number 1
loop_
_symmetry_equiv_pos_as_xyz
'x,y,z'
loop_
_atom_site_label
_atom_site_type_symbol
_atom_site_fract_x
_atom_site_fract_y
_atom_site_fract_z
_atom_site_occupancy
I1 I 0.0000 0.0000 0.0000 1
P1 P 0.0000 0.5000 0.0000 1
P2 P 0.0000 0.0000 0.5000 1
P3 P 0.5000 0.0000 0.0000 1
Mg1 Mg 0.5000 0.5000 0.5000 1
# **Total moment**: 0.00 μB/f.u.
# **ΔE_f (raw)**: 613.5 kJ/mol of formula units


ΔE_f (raw) of number 4 (MgP2SI)?
503.9 kJ/mol of formula units